Compound: GdZrB
Source: OQMD via LeMat-Bulk
Functional: PBE
Structure: optimized geometry

```
GdZrB
1.0
0.0000 3.1910 3.1910
3.1910 0.0000 3.1910
3.1910 3.1910 0.0000
B Gd Zr
1 1 1
Cartesian
1.5955 1.5955 1.5955 B
0.0000 0.0000 0.0000 Gd
4.7865 4.7865 4.7865 Zr
```

The calculation puts the energy above the most stable polymorph in this dataset at 1.428 eV/atom.